Record 1
Ca4Mg3Cu2 at its PBEsol-relaxed geometry, computed with SCAN.

The space group is C2/m (No. 12) and the conventional cell measures 14.9378, 4.0731 and 8.3067 Å, with angles of 90.00, 105.40 and 90.00 degrees. Symmetry generates all atoms from Ca at (0.0741, 0.0000, 0.2329), Ca at (0.1997, 0.0000, 0.6865), Mg at (0.0000, 0.5000, 0.5000), Mg at (0.1016, 0.5000, 0.9287) and Cu at (0.2167, 0.0000, 0.0440).

For the energy relative to the elements, the calculation gives -99 meV/atom. Its energy is -84.86 eV per formula unit.

=====

Record 2
Tl2NiTe at its PBEsol-relaxed geometry, computed with SCAN.

The space group is Fm-3m (No. 225) and the conventional cell measures 7.2611, 7.2611 and 7.2611 Å, with angles of 90.00, 90.00 and 90.00 degrees. Symmetry generates all atoms from Tl at (0.2500, 0.2500, 0.2500), Ni at (0.0000, 0.0000, 0.0000) and Te at (0.0000, 0.0000, 0.5000).

The energy above the most stable polymorph in this dataset comes out at 265 meV per atom. As for the formation energy from raw total energies: 579 meV/atom. Its energy is -195.82 eV per formula unit.

=====

Record 3
BaSm2CuO5 at its PBEsol-relaxed geometry, computed with SCAN.

The space group is Pnma (No. 62) and the conventional cell measures 12.3008, 5.7214 and 7.2447 Å, with angles of 90.00, 90.00 and 90.00 degrees. Symmetry generates all atoms from Ba at (0.0945, 0.2500, 0.0681), Sm at (0.0748, 0.7500, 0.3957), Sm at (0.2115, 0.2500, 0.6125), Cu at (0.1603, 0.7500, 0.7840), O at (0.0665, 0.5103, 0.6685), O at (0.0989, 0.7500, 0.0758) and O at (0.2274, 0.0071, 0.3501).

As for the formation energy from raw total energies: -2946 meV/atom. Its energy is -201.31 eV per formula unit.

=====

- The lowest energy belongs to which entry?
  BaSm2CuO5

=====

- energy of number 2 (Tl2NiTe)?
  -195.82 eV per formula unit

=====

- Which value of energy does entry 2 give?
  -195.82 eV per formula unit

=====

- What is the energy in the first record?
  -84.86 eV per formula unit